Record 1
Density functional theory data (PBE) for TlCuHgOs after structural relaxation.

a b c (Å): 4.662 4.662 4.662
angles (deg): 60.00 60.00 60.00
Fractional positions:
Os1 0.500 0.500 0.500
Tl1 0.000 0.000 0.000
Hg1 0.250 0.250 0.250
Cu1 0.750 0.750 0.750

Offset from the most stable computed form in eV per atom: 0.209
Symmetry: No. 216

Record 2
Density functional theory data (PBE) for ThMgPd6 after structural relaxation.

a b c (Å): 4.169 4.169 7.859
angles (deg): 90.00 90.00 90.00
Fractional positions:
Pd1 0.500 0.000 0.237
Th1 0.000 0.000 0.500
Mg1 0.000 0.000 0.000
Pd2 0.500 0.000 0.763
Pd3 0.500 0.500 0.000
Pd4 0.000 0.500 0.237
Pd5 0.500 0.500 0.500
Pd6 0.000 0.500 0.763

E in eV per atom: -5.760
Symmetry: No. 123

Copy entry 1 word for word.
Density functional theory data (PBE) for TlCuHgOs after structural relaxation.

a b c (Å): 4.662 4.662 4.662
angles (deg): 60.00 60.00 60.00
Fractional positions:
Os1 0.500 0.500 0.500
Tl1 0.000 0.000 0.000
Hg1 0.250 0.250 0.250
Cu1 0.750 0.750 0.750

Offset from the most stable computed form in eV per atom: 0.209
Symmetry: No. 216

Number 1 is which compound?
TlCuHgOs